This record from the Alexandria database describes a relaxed Cs2TlHF6 crystal. The functional is PBE.

Properties
Its space group is I4/mmm, No. 139. The total energy comes out at -3.751 eV/atom.

Cell: 6.811 6.811 6.811 Å, 130.59 130.59 72.47°
Element x y z (fractional)
Cs 0.250 0.750 0.500
Cs 0.750 0.250 0.500
Tl 0.000 0.000 0.000
H 0.500 0.500 0.000
F 0.196 0.196 0.000
F 0.282 0.282 0.563
F 0.282 0.718 0.000
F 0.718 0.282 0.000
F 0.718 0.718 0.437
F 0.804 0.804 0.000